No. 1
A relaxed LaTbCePa crystal, computed with PBE-GGA.

a = 5.5692 Å, b = 5.5692 Å, c = 5.5692 Å
α = 60.00°, β = 60.00°, γ = 60.00°
Each line ends with the local moment (μB).
Fractional coordinates of all 4 atoms:
Tb  0.2500  0.2500  0.2500  0.23
La  0.0000  0.0000  0.0000  0.17
Ce  0.5000  0.5000  0.5000  0.88
Pa  0.7500  0.7500  0.7500  1.20

Results
DFT formation energy = 0.4020 eV per atom
crystal system = cubic
magnetic moment = 3.46 μB per formula unit
energy = -5.84 eV/atom

=====

No. 2
A relaxed RbSr2Al2 crystal, computed with PBE-GGA.

a = 9.4477 Å, b = 9.4477 Å, c = 4.2156 Å
α = 90.00°, β = 90.00°, γ = 90.00°
Fractional coordinates of all 10 atoms:
Sr  0.6786  0.8214  0.5000
Sr  0.1786  0.6786  0.5000
Al  0.6026  0.1026  0.0000
Rb  0.5000  0.5000  0.0000
Rb  0.0000  0.0000  0.0000
Al  0.3974  0.8974  0.0000
Al  0.8974  0.6026  0.0000
Sr  0.8214  0.3214  0.5000
Sr  0.3214  0.1786  0.5000
Al  0.1026  0.3974  0.0000

Results
DFT formation energy = 0.0566 eV per atom
crystal system = tetragonal
magnetic moment = 0.00 μB per formula unit
energy above the most stable polymorph in this dataset = 0 meV/atom
energy = -2.31 eV/atom

=====

No. 3
A relaxed MgCu2AsH crystal, computed with PBE-GGA.

a = 3.8464 Å, b = 3.8464 Å, c = 4.2942 Å
α = 90.00°, β = 90.00°, γ = 90.00°
Fractional coordinates of all 5 atoms:
As  0.5000  0.5000  0.5000
Mg  0.0000  0.0000  0.5000
Cu  0.5000  0.0000  0.0000
H  0.0000  0.0000  0.0000
Cu  0.0000  0.5000  0.0000

Results
crystal system = tetragonal
magnetic moment = 0.00 μB per formula unit
energy = -3.56 eV/atom

=====

No. 4
A relaxed Ga2CuH2 crystal, computed with PBE-GGA.

a = 5.2491 Å, b = 5.2491 Å, c = 4.1336 Å
α = 90.00°, β = 90.00°, γ = 90.00°
Fractional coordinates of all 10 atoms:
Ga  0.8142  0.3142  0.5000
H  0.2030  0.7030  0.0000
Ga  0.6858  0.8142  0.5000
H  0.2970  0.2030  0.0000
Cu  0.5000  0.5000  0.0000
Ga  0.1858  0.6858  0.5000
H  0.7970  0.2970  0.0000
H  0.7030  0.7970  0.0000
Cu  0.0000  0.0000  0.0000
Ga  0.3142  0.1858  0.5000

Results
crystal system = tetragonal
magnetic moment = 0.00 μB per formula unit
energy above the most stable polymorph in this dataset = 0 meV/atom
energy = -3.12 eV/atom

=====

No. 5
A relaxed K2InI3 crystal, computed with PBE-GGA.

a = 7.0526 Å, b = 10.4460 Å, c = 10.4460 Å
α = 119.50°, β = 90.00°, γ = 90.00°
Fractional coordinates of all 12 atoms:
In  0.4918  0.1656  0.1656
I  0.4941  0.1683  0.4987
K  0.9942  0.1670  0.4989
I  0.4897  0.8375  0.8375
I  0.9941  0.5013  0.8317
I  0.9941  0.8317  0.5013
K  0.4942  0.8330  0.5011
K  0.9942  0.4989  0.1670
In  0.9918  0.8344  0.8344
K  0.4942  0.5011  0.8330
I  0.4941  0.4987  0.1683
I  0.9897  0.1625  0.1625

Results
crystal system = orthorhombic
magnetic moment = 0.00 μB per formula unit
energy above the most stable polymorph in this dataset = 40 meV/atom
energy = -2.70 eV/atom

=====

No. 6
A relaxed Ce2DyEr3Bi6 crystal, computed with PBE-GGA.

a = 4.5123 Å, b = 9.0016 Å, c = 10.0633 Å
α = 102.82°, β = 102.96°, γ = 90.00°
Each line ends with the local moment (μB).
Fractional coordinates of all 12 atoms:
Er  0.5000  0.5000  0.0000  -0.01
Er  0.8327  0.1659  0.6655  -0.01
Bi  0.6667  0.0772  0.3334  -0.02
Bi  0.3351  0.4117  0.6702  -0.02
Ce  0.1656  0.3318  0.3313  0.80
Bi  0.0025  0.7499  0.0050  -0.01
Ce  0.8344  0.6682  0.6687  0.80
Dy  0.5000  0.0000  0.0000  0.00
Bi  0.9975  0.2501  0.9950  -0.01
Bi  0.3333  0.9228  0.6666  -0.02
Bi  0.6649  0.5883  0.3298  -0.02
Er  0.1673  0.8341  0.3345  -0.01

Results
DFT formation energy = -0.8131 eV per atom
crystal system = monoclinic
magnetic moment = 1.62 μB per formula unit
energy = -5.27 eV/atom